# 1
First-principles (PBE) data for a relaxed structure of B2Pt2Au, as listed in the Alexandria database.

The structure belongs to space group I4/mmm (No. 139); the cell edges are 3.2051, 3.2051 and 12.8145 Å and the angles 90.00°, 90.00° and 90.00°. The inequivalent atoms are B at (0.0000, 0.5000, 0.2500), Pt at (0.0000, 0.0000, 0.1401) and Au at (0.0000, 0.0000, 0.5000).

The calculation puts the formation energy at -137.9 meV per atom. Its total energy is -5.881 eV per atom. The density of states at the Fermi level is 1.3 states/eV/f.u. The value obtained for the magnetization is 0.0 μB/f.u.

# 2
First-principles (PBE) data for a relaxed structure of B2Pt2Au, as listed in the Alexandria database.

The structure belongs to space group P4/mbm (No. 127); the cell edges are 6.8969, 6.8969 and 2.6998 Å and the angles 90.00°, 90.00° and 90.00°. The inequivalent atoms are B at (0.1366, 0.3634, 0.0000), Pt at (0.1427, 0.6427, 0.5000) and Au at (0.0000, 0.0000, 0.5000).

The calculation puts the formation energy at 462.2 meV per atom. Its total energy is -5.281 eV per atom. The density of states at the Fermi level is 1.0 states/eV/f.u. The value obtained for the magnetization is 0.0 μB/f.u.

# 3
First-principles (PBE) data for a relaxed structure of BPt3Au, as listed in the Alexandria database.

The structure belongs to space group R-3c (No. 167, hexagonal axes); the cell edges are 7.5849, 7.5849 and 9.0228 Å and the angles 90.00°, 90.00° and 120.00°. The inequivalent atoms are B at (0.0000, 0.0000, 0.2500), Pt at (0.0000, 0.2734, 0.2500) and Au at (0.0000, 0.0000, 0.0000).

The calculation puts the formation energy at 86.4 meV per atom. Its total energy is -5.529 eV per atom. The density of states at the Fermi level is 2.6 states/eV/f.u. The value obtained for the magnetization is 0.0 μB/f.u.

# 4
First-principles (PBE) data for a relaxed structure of BPt2RhAu, as listed in the Alexandria database.

The structure belongs to space group P4/mmm (No. 123); the cell edges are 4.2110, 4.2110 and 4.1559 Å and the angles 90.00°, 90.00° and 90.00°. The inequivalent atoms are B at (0.0000, 0.0000, 0.0000), Pt at (0.0000, 0.5000, 0.0000), Rh at (0.0000, 0.0000, 0.5000) and Au at (0.5000, 0.5000, 0.5000).

The calculation puts the formation energy at -13.9 meV per atom. Its total energy is -5.892 eV per atom. The density of states at the Fermi level is 6.5 states/eV/f.u. The value obtained for the magnetization is 0.0 μB/f.u.